## HoPd7Au2 (PBE)

Data for HoPd7Au2 after structural relaxation.

Summary:
Crystal system: orthorhombic
Total energy: -4.661 eV per atom
Formation energy: 0.087 eV/atom
Space group: Cmmm (65)
D(E_F): 1.380 states/eV/atom

a = 4.475 Å, b = 7.626 Å, c = 7.626 Å
α = 123.26°, β = 90.00°, γ = 90.00°
Sites, in units of the cell vectors:
Pd  0.000  0.196  0.804
Pd  0.500  0.287  0.075
Ho  0.000  0.000  0.000
Pd  0.500  0.925  0.713
Pd  0.000  0.804  0.196
Au  0.500  0.701  0.299
Pd  0.500  0.075  0.287
Pd  0.500  0.713  0.925
Pd  0.500  0.500  0.500
Au  0.500  0.299  0.701